[1]
# ScAg5, single point on PBEsol structure, DFT SCAN
# Calculated volume in Å³/atom: 17.271
# Energy relative to the elements in meV/atom: -67
data_ScAg5
_space_group_name_H-M_alt 'A m m 2'
_space_group_IT_number 38
_cell_length_a 4.748
_cell_length_b 2.930
_cell_length_c 14.900
_cell_angle_alpha 90.00
_cell_angle_beta 90.00
_cell_angle_gamma 90.00
loop_
_space_group_symop_operation_xyz
'x,y,z'
'-x,-y,z'
'-x,y,z'
'x,-y,z'
'x,y+1/2,z+1/2'
'-x,-y+1/2,z+1/2'
'-x,y+1/2,z+1/2'
'x,-y+1/2,z+1/2'
loop_
_atom_site_label
_atom_site_type_symbol
_atom_site_fract_x
_atom_site_fract_y
_atom_site_fract_z
_atom_site_occupancy
Sc1 Sc 0.000 0.000 0.000 1
Ag1 Ag 0.000 0.000 0.331 1
Ag2 Ag 0.000 0.000 0.668 1
Ag3 Ag 0.500 0.000 0.110 1
Ag4 Ag 0.500 0.000 0.439 1
Ag5 Ag 0.500 0.000 0.776 1

=====

[2]
# Na2Mn2S, single point on PBEsol structure, DFT SCAN
# Calculated volume in Å³/atom: 24.026
# Formation energy (no corrections) in kJ per mole of atoms: 92.83
data_Na2Mn2S
_space_group_name_H-M_alt 'P 4/m m m'
_space_group_IT_number 123
_space_group_name_Hall '-P 4 2'
_cell_length_a 4.922
_cell_length_b 4.922
_cell_length_c 4.959
_cell_angle_alpha 90.00
_cell_angle_beta 90.00
_cell_angle_gamma 90.00
loop_
_atom_site_label
_atom_site_type_symbol
_atom_site_fract_x
_atom_site_fract_y
_atom_site_fract_z
_atom_site_occupancy
Na1 Na 0.000 0.000 0.000 1
Na2 Na 0.000 0.000 0.500 1
Mn1 Mn 0.000 0.500 0.000 1
S1 S 0.500 0.500 0.500 1

=====

[3]
# NiCl2, single point on PBEsol structure, DFT SCAN
# Calculated volume in Å³/atom: 18.012
# Formation energy (no corrections) in kJ per mole of atoms: -17.69
data_NiCl2
_space_group_name_H-M_alt 'I 4/m m m'
_space_group_IT_number 139
_space_group_name_Hall '-I 4 2'
_cell_length_a 3.010
_cell_length_b 3.010
_cell_length_c 11.930
_cell_angle_alpha 90.00
_cell_angle_beta 90.00
_cell_angle_gamma 90.00
loop_
_atom_site_label
_atom_site_type_symbol
_atom_site_fract_x
_atom_site_fract_y
_atom_site_fract_z
_atom_site_occupancy
Ni1 Ni 0.000 0.000 0.000 1
Cl1 Cl 0.000 0.000 0.379 1

=====

[4]
# Ag2Pb, single point on PBEsol structure, DFT SCAN
# Calculated volume in Å³/atom: 20.509
# Energy relative to the elements in meV/atom: 73
data_Ag2Pb
_space_group_name_H-M_alt 'P 63/m m c'
_space_group_IT_number 194
_space_group_name_Hall '-P 6c 2c'
_cell_length_a 5.6176
_cell_length_b 5.6176
_cell_length_c 9.0052
_cell_angle_alpha 90.00
_cell_angle_beta 90.00
_cell_angle_gamma 120.00
loop_
_atom_site_label
_atom_site_type_symbol
_atom_site_fract_x
_atom_site_fract_y
_atom_site_fract_z
_atom_site_occupancy
Ag1 Ag 0.0000 0.0000 0.0000 1
Ag2 Ag 0.1687 0.3374 0.2500 1
Pb1 Pb 0.3333 0.6667 0.5578 1

=====

[5]
# La2AlIn, single point on PBEsol structure, DFT SCAN
# Calculated volume in Å³/atom: 27.894
# Energy relative to the elements in meV/atom: -521
data_La2AlIn
_space_group_name_H-M_alt 'P 4/m m m'
_space_group_IT_number 123
_space_group_name_Hall '-P 4 2'
_cell_length_a 3.808
_cell_length_b 3.808
_cell_length_c 7.695
_cell_angle_alpha 90.00
_cell_angle_beta 90.00
_cell_angle_gamma 90.00
loop_
_atom_site_label
_atom_site_type_symbol
_atom_site_fract_x
_atom_site_fract_y
_atom_site_fract_z
_atom_site_occupancy
La1 La 0.000 0.000 0.240 1
Al1 Al 0.500 0.500 0.000 1
In1 In 0.500 0.500 0.500 1

=====

[6]
# ZnSb2HI, single point on PBEsol structure, DFT SCAN
# Calculated volume in Å³/atom: 24.808
# Total energy in eV per cell: -125.49
data_ZnSb2HI
_space_group_name_H-M_alt 'P 4/m m m'
_space_group_IT_number 123
_space_group_name_Hall '-P 4 2'
_cell_length_a 4.221
_cell_length_b 4.221
_cell_length_c 6.962
_cell_angle_alpha 90.00
_cell_angle_beta 90.00
_cell_angle_gamma 90.00
loop_
_atom_site_label
_atom_site_type_symbol
_atom_site_fract_x
_atom_site_fract_y
_atom_site_fract_z
_atom_site_occupancy
Zn1 Zn 0.000 0.000 0.000 1
Sb1 Sb 0.000 0.500 0.500 1
H1 H 0.500 0.500 0.500 1
I1 I 0.500 0.500 0.000 1

=====

[7]
# ReAsW2, single point on PBEsol structure, DFT SCAN
# Calculated volume in Å³/atom: 14.925
# Energy relative to the elements in meV/atom: 302
data_ReAsW2
_space_group_name_H-M_alt 'I m m 2'
_space_group_IT_number 44
_cell_length_a 3.053
_cell_length_b 4.360
_cell_length_c 8.971
_cell_angle_alpha 90.00
_cell_angle_beta 90.00
_cell_angle_gamma 90.00
loop_
_space_group_symop_operation_xyz
'x,y,z'
'-x,-y,z'
'-x,y,z'
'x,-y,z'
'x+1/2,y+1/2,z+1/2'
'-x+1/2,-y+1/2,z+1/2'
'-x+1/2,y+1/2,z+1/2'
'x+1/2,-y+1/2,z+1/2'
loop_
_atom_site_label
_atom_site_type_symbol
_atom_site_fract_x
_atom_site_fract_y
_atom_site_fract_z
_atom_site_occupancy
Re1 Re 0.000 0.000 0.000 1
As1 As 0.000 0.500 0.272 1
W1 W 0.000 0.000 0.535 1
W2 W 0.000 0.500 0.763 1

=====

[8]
# ZrSnPO2, single point on PBEsol structure, DFT SCAN
# Calculated volume in Å³/atom: 16.030
# Formation energy (no corrections) in kJ per mole of atoms: -82.35
data_ZrSnPO2
_space_group_name_H-M_alt 'P 4/m m m'
_space_group_IT_number 123
_space_group_name_Hall '-P 4 2'
_cell_length_a 3.925
_cell_length_b 3.925
_cell_length_c 5.203
_cell_angle_alpha 90.00
_cell_angle_beta 90.00
_cell_angle_gamma 90.00
loop_
_atom_site_label
_atom_site_type_symbol
_atom_site_fract_x
_atom_site_fract_y
_atom_site_fract_z
_atom_site_occupancy
Zr1 Zr 0.000 0.000 0.000 1
Sn1 Sn 0.500 0.500 0.500 1
P1 P 0.500 0.500 0.000 1
O1 O 0.000 0.500 0.500 1

=====

[9]
# PbF2, single point on PBEsol structure, DFT SCAN
# Calculated volume in Å³/atom: 17.000
# Formation energy (no corrections) in kJ per mole of atoms: -234.55
data_PbF2
_space_group_name_H-M_alt 'F m -3 m'
_space_group_IT_number 225
_space_group_name_Hall '-F 4 2 3'
_cell_length_a 5.887
_cell_length_b 5.887
_cell_length_c 5.887
_cell_angle_alpha 90.00
_cell_angle_beta 90.00
_cell_angle_gamma 90.00
loop_
_atom_site_label
_atom_site_type_symbol
_atom_site_fract_x
_atom_site_fract_y
_atom_site_fract_z
_atom_site_occupancy
Pb1 Pb 0.000 0.000 0.000 1
F1 F 0.250 0.250 0.250 1

=====

[10]
# LuMgIn, single point on PBEsol structure, DFT SCAN
# Calculated volume in Å³/atom: 23.596
# Energy relative to the elements in meV/atom: -457
data_LuMgIn
_space_group_name_H-M_alt 'P -6 2 m'
_space_group_IT_number 189
_space_group_name_Hall 'P -6 -2'
_cell_length_a 7.3235
_cell_length_b 7.3235
_cell_length_c 4.5721
_cell_angle_alpha 90.00
_cell_angle_beta 90.00
_cell_angle_gamma 120.00
loop_
_atom_site_label
_atom_site_type_symbol
_atom_site_fract_x
_atom_site_fract_y
_atom_site_fract_z
_atom_site_occupancy
Lu1 Lu 0.0000 0.5628 0.0000 1
Mg1 Mg 0.0000 0.2418 0.5000 1
In1 In 0.0000 0.0000 0.0000 1
In2 In 0.3333 0.6667 0.5000 1

=====

[11]
# Y4TlCo, single point on PBEsol structure, DFT SCAN
# Calculated volume in Å³/atom: 25.994
# Energy relative to the elements in meV/atom: 630
data_Y4TlCo
_space_group_name_H-M_alt 'F -4 3 m'
_space_group_IT_number 216
_space_group_name_Hall 'F -4 2 3'
_cell_length_a 8.545
_cell_length_b 8.545
_cell_length_c 8.545
_cell_angle_alpha 90.00
_cell_angle_beta 90.00
_cell_angle_gamma 90.00
loop_
_atom_site_label
_atom_site_type_symbol
_atom_site_fract_x
_atom_site_fract_y
_atom_site_fract_z
_atom_site_occupancy
Y1 Y 0.125 0.125 0.125 1
Tl1 Tl 0.250 0.250 0.750 1
Co1 Co 0.000 0.000 0.500 1

=====

[12]
# Y5Mg24, single point on PBEsol structure, DFT SCAN
# Calculated volume in Å³/atom: 24.085
# Energy relative to the elements in meV/atom: -73
data_Y5Mg24
_space_group_name_H-M_alt 'I -4 3 m'
_space_group_IT_number 217
_space_group_name_Hall 'I -4 2 3'
_cell_length_a 11.179
_cell_length_b 11.179
_cell_length_c 11.179
_cell_angle_alpha 90.00
_cell_angle_beta 90.00
_cell_angle_gamma 90.00
loop_
_atom_site_label
_atom_site_type_symbol
_atom_site_fract_x
_atom_site_fract_y
_atom_site_fract_z
_atom_site_occupancy
Y1 Y 0.000 0.000 0.000 1
Y2 Y 0.187 0.187 0.187 1
Mg1 Mg 0.033 0.356 0.644 1
Mg2 Mg 0.090 0.090 0.719 1

=====

[13]
# SrMg2As, single point on PBEsol structure, DFT SCAN
# Calculated volume in Å³/atom: 28.120
# Energy relative to the elements in meV/atom: -436
data_SrMg2As
_space_group_name_H-M_alt 'C 1 m 1'
_space_group_IT_number 8
_cell_length_a 7.205
_cell_length_b 4.566
_cell_length_c 7.482
_cell_angle_alpha 90.00
_cell_angle_beta 113.93
_cell_angle_gamma 90.00
loop_
_space_group_symop_operation_xyz
'x,y,z'
'x,-y,z'
'x+1/2,y+1/2,z'
'x+1/2,-y+1/2,z'
loop_
_atom_site_label
_atom_site_type_symbol
_atom_site_fract_x
_atom_site_fract_y
_atom_site_fract_z
_atom_site_occupancy
Sr1 Sr 0.000 0.000 0.000 1
Mg1 Mg 0.016 0.500 0.599 1
Mg2 Mg 0.292 0.500 0.358 1
As1 As 0.218 0.000 0.720 1

=====

[14]
# Ca2AlAsBr, single point on PBEsol structure, DFT SCAN
# Calculated volume in Å³/atom: 28.770
# Formation energy (no corrections) in kJ per mole of atoms: -14.03
data_Ca2AlAsBr
_space_group_name_H-M_alt 'P 4/m m m'
_space_group_IT_number 123
_space_group_name_Hall '-P 4 2'
_cell_length_a 5.382
_cell_length_b 5.382
_cell_length_c 4.967
_cell_angle_alpha 90.00
_cell_angle_beta 90.00
_cell_angle_gamma 90.00
loop_
_atom_site_label
_atom_site_type_symbol
_atom_site_fract_x
_atom_site_fract_y
_atom_site_fract_z
_atom_site_occupancy
Ca1 Ca 0.000 0.500 0.000 1
Al1 Al 0.000 0.000 0.500 1
As1 As 0.500 0.500 0.500 1
Br1 Br 0.000 0.000 0.000 1

=====

[15]
# Zn2CuWO6, single point on PBEsol structure, DFT SCAN
# Calculated volume in Å³/atom: 11.018
# Formation energy (no corrections) in kJ per mole of atoms: -159.56
# Distance to the lowest polymorph of the same formula in kJ/mol of formula units: 0
data_Zn2CuWO6
_space_group_name_H-M_alt 'P 1'
_space_group_IT_number 1
_cell_length_a 4.887
_cell_length_b 5.318
_cell_length_c 5.371
_cell_angle_alpha 115.45
_cell_angle_beta 115.98
_cell_angle_gamma 90.08
loop_
_space_group_symop_operation_xyz
'x,y,z'
loop_
_atom_site_label
_atom_site_type_symbol
_atom_site_fract_x
_atom_site_fract_y
_atom_site_fract_z
_atom_site_occupancy
Zn1 Zn 0.000 0.000 0.000 1
Zn2 Zn 0.436 0.535 0.007 1
Cu1 Cu 0.188 0.676 0.454 1
W1 W 0.702 0.179 0.461 1
O1 O 0.046 0.444 0.588 1
O2 O 0.309 0.862 0.271 1
O3 O 0.387 0.372 0.276 1
O4 O 0.643 0.933 0.047 1
O5 O 0.690 0.339 0.836 1
O6 O 0.954 0.938 0.600 1

=====

[16]
# MgAl2Au, single point on PBEsol structure, DFT SCAN
# Calculated volume in Å³/atom: 17.124
# Energy relative to the elements in meV/atom: -320
data_MgAl2Au
_space_group_name_H-M_alt 'P 4 m m'
_space_group_IT_number 99
_cell_length_a 3.445
_cell_length_b 3.445
_cell_length_c 5.770
_cell_angle_alpha 90.00
_cell_angle_beta 90.00
_cell_angle_gamma 90.00
loop_
_space_group_symop_operation_xyz
'x,y,z'
'-y,x,z'
'-x,-y,z'
'y,-x,z'
'-x,y,z'
'y,x,z'
'x,-y,z'
'-y,-x,z'
loop_
_atom_site_label
_atom_site_type_symbol
_atom_site_fract_x
_atom_site_fract_y
_atom_site_fract_z
_atom_site_occupancy
Mg1 Mg 0.000 0.000 0.000 1
Al1 Al 0.000 0.000 0.509 1
Al2 Al 0.500 0.500 0.270 1
Au1 Au 0.500 0.500 0.746 1

=====

[17]
# TcGeC3, single point on PBEsol structure, DFT SCAN
# Calculated volume in Å³/atom: 11.258
# Energy relative to the elements in meV/atom: 2804
data_TcGeC3
_space_group_name_H-M_alt 'P m -3 m'
_space_group_IT_number 221
_space_group_name_Hall '-P 4 2 3'
_cell_length_a 3.832
_cell_length_b 3.832
_cell_length_c 3.832
_cell_angle_alpha 90.00
_cell_angle_beta 90.00
_cell_angle_gamma 90.00
loop_
_atom_site_label
_atom_site_type_symbol
_atom_site_fract_x
_atom_site_fract_y
_atom_site_fract_z
_atom_site_occupancy
Tc1 Tc 0.000 0.000 0.000 1
Ge1 Ge 0.500 0.500 0.500 1
C1 C 0.000 0.500 0.500 1

=====

[18]
# AsAu5, single point on PBEsol structure, DFT SCAN
# Calculated volume in Å³/atom: 17.193
# Energy relative to the elements in meV/atom: 95
data_AsAu5
_space_group_name_H-M_alt 'A m m 2'
_space_group_IT_number 38
_cell_length_a 4.805
_cell_length_b 2.872
_cell_length_c 14.950
_cell_angle_alpha 90.00
_cell_angle_beta 90.00
_cell_angle_gamma 90.00
loop_
_space_group_symop_operation_xyz
'x,y,z'
'-x,-y,z'
'-x,y,z'
'x,-y,z'
'x,y+1/2,z+1/2'
'-x,-y+1/2,z+1/2'
'-x,y+1/2,z+1/2'
'x,-y+1/2,z+1/2'
loop_
_atom_site_label
_atom_site_type_symbol
_atom_site_fract_x
_atom_site_fract_y
_atom_site_fract_z
_atom_site_occupancy
As1 As 0.000 0.000 0.000 1
Au1 Au 0.000 0.000 0.333 1
Au2 Au 0.000 0.000 0.665 1
Au3 Au 0.500 0.000 0.111 1
Au4 Au 0.500 0.000 0.444 1
Au5 Au 0.500 0.000 0.777 1

=====

[19]
# MgBP2O, single point on PBEsol structure, DFT SCAN
# Calculated volume in Å³/atom: 16.565
# Formation energy (no corrections) in kJ per mole of atoms: 119.21
# Distance to the lowest polymorph of the same formula in kJ/mol of formula units: 663
data_MgBP2O
_space_group_name_H-M_alt 'P 4/m m m'
_space_group_IT_number 123
_space_group_name_Hall '-P 4 2'
_cell_length_a 4.852
_cell_length_b 4.852
_cell_length_c 3.518
_cell_angle_alpha 90.00
_cell_angle_beta 90.00
_cell_angle_gamma 90.00
loop_
_atom_site_label
_atom_site_type_symbol
_atom_site_fract_x
_atom_site_fract_y
_atom_site_fract_z
_atom_site_occupancy
Mg1 Mg 0.000 0.000 0.000 1
B1 B 0.500 0.500 0.500 1
P1 P 0.000 0.500 0.000 1
O1 O 0.000 0.000 0.500 1

=====

[20]
# Cs2TiSi6O15, single point on PBEsol structure, DFT SCAN
# Calculated volume in Å³/atom: 15.044
# Formation energy (no corrections) in kJ per mole of atoms: -291.14
# Distance to the lowest polymorph of the same formula in kJ/mol of formula units: 11
data_Cs2TiSi6O15
_space_group_name_H-M_alt 'C 1 2/c 1'
_space_group_IT_number 15
_cell_length_a 13.540
_cell_length_b 7.415
_cell_length_c 15.135
_cell_angle_alpha 90.00
_cell_angle_beta 108.13
_cell_angle_gamma 90.00
loop_
_space_group_symop_operation_xyz
'x,y,z'
'-x,-y,-z'
'-x,y,-z+1/2'
'x,-y,z+1/2'
'x+1/2,y+1/2,z'
'-x+1/2,-y+1/2,-z'
'-x+1/2,y+1/2,-z+1/2'
'x+1/2,-y+1/2,z+1/2'
loop_
_atom_site_label
_atom_site_type_symbol
_atom_site_fract_x
_atom_site_fract_y
_atom_site_fract_z
_atom_site_occupancy
Cs1 Cs 0.117 0.241 0.402 1
Ti1 Ti 0.250 0.250 0.000 1
Si1 Si 0.001 0.286 0.647 1
Si2 Si 0.156 0.009 0.136 1
Si3 Si 0.172 0.397 0.175 1
O1 O 0.000 0.220 0.750 1
O2 O 0.057 0.125 0.606 1
O3 O 0.073 0.467 0.659 1
O4 O 0.113 0.325 0.921 1
O5 O 0.119 0.196 0.175 1
O6 O 0.193 0.044 0.046 1
O7 O 0.231 0.410 0.099 1
O8 O 0.249 0.420 0.281 1